Entry 1:
Material: Cs2NdH4
Method: DFT, PBE
State: optimized geometry

Total energy = -21.4 eV/f.u.
Magnetization = 0.00 μB/f.u.

abc: 8.656 8.656 8.656
angles: 149.06 149.06 44.32
Fractional positions:
Cs 0.156 0.156 0.000
Cs 0.844 0.844 0.000
Nd 0.500 0.500 0.000
H 0.000 0.500 0.500
H 0.353 0.353 0.000
H 0.500 0.000 0.500
H 0.647 0.647 0.000

=====

Entry 2:
Material: CsNi3H
Method: DFT, PBE
State: optimized geometry

ΔE to the lowest computed polymorph = 0 meV/atom
Total energy = -16.7 eV/f.u.
Magnetization = 0.10 μB/f.u.

abc: 4.065 4.065 4.065
angles: 90.00 90.00 90.00
Fractional positions:
Cs 0.000 0.000 0.000
Ni 0.000 0.500 0.500
Ni 0.500 0.000 0.500
Ni 0.500 0.500 0.000
H 0.500 0.500 0.500

=====

Entry 3:
Material: Cs12Ni3H5
Method: DFT, PBE
State: optimized geometry

Total energy = -39.5 eV/f.u.
Magnetization = 0.09 μB/f.u.

abc: 16.655 16.655 16.655
angles: 109.47 109.47 109.47
Fractional positions:
Cs 0.035 0.212 0.131
Cs 0.035 0.323 0.904
Cs 0.080 0.712 0.677
Cs 0.080 0.869 0.404
Cs 0.096 0.631 0.420
Cs 0.096 0.965 0.677
Cs 0.131 0.035 0.212
Cs 0.131 0.596 0.920
Cs 0.177 0.212 0.580
Cs 0.177 0.465 0.596
Cs 0.212 0.131 0.035
Cs 0.212 0.580 0.177
Cs 0.288 0.323 0.920
Cs 0.288 0.465 0.369
Cs 0.323 0.904 0.035
Cs 0.323 0.920 0.288
Cs 0.369 0.288 0.465
Cs 0.369 0.580 0.904
Cs 0.404 0.080 0.869
Cs 0.404 0.823 0.535
Cs 0.420 0.096 0.631
Cs 0.420 0.823 0.788
Cs 0.465 0.369 0.288
Cs 0.465 0.596 0.177
Cs 0.535 0.404 0.823
Cs 0.535 0.631 0.712
Cs 0.580 0.177 0.212
Cs 0.580 0.904 0.369
Cs 0.596 0.177 0.465
Cs 0.596 0.920 0.131
Cs 0.631 0.420 0.096
Cs 0.631 0.712 0.535
Cs 0.677 0.080 0.712
Cs 0.677 0.096 0.965
Cs 0.712 0.535 0.631
Cs 0.712 0.677 0.080
Cs 0.788 0.420 0.823
Cs 0.788 0.869 0.965
Cs 0.823 0.535 0.404
Cs 0.823 0.788 0.420
Cs 0.869 0.404 0.080
Cs 0.869 0.965 0.788
Cs 0.904 0.035 0.323
Cs 0.904 0.369 0.580
Cs 0.920 0.131 0.596
Cs 0.920 0.288 0.323
Cs 0.965 0.677 0.096
Cs 0.965 0.788 0.869
Ni 0.125 0.250 0.375
Ni 0.125 0.375 0.750
Ni 0.250 0.375 0.125
Ni 0.250 0.875 0.625
Ni 0.375 0.125 0.250
Ni 0.375 0.750 0.125
Ni 0.625 0.250 0.875
Ni 0.625 0.875 0.750
Ni 0.750 0.125 0.375
Ni 0.750 0.625 0.875
Ni 0.875 0.625 0.250
Ni 0.875 0.750 0.625
H 0.000 0.000 0.000
H 0.000 0.000 0.500
H 0.000 0.500 0.000
H 0.000 0.500 0.500
H 0.125 0.750 0.875
H 0.125 0.875 0.250
H 0.250 0.125 0.875
H 0.250 0.625 0.375
H 0.375 0.250 0.625
H 0.375 0.625 0.750
H 0.500 0.000 0.000
H 0.500 0.000 0.500
H 0.500 0.500 0.000
H 0.500 0.500 0.500
H 0.625 0.375 0.250
H 0.625 0.750 0.375
H 0.750 0.375 0.625
H 0.750 0.875 0.125
H 0.875 0.125 0.750
H 0.875 0.250 0.125

=====

Entry 4:
Material: CsNiH4
Method: DFT, PBE
State: optimized geometry

Total energy = -20.4 eV/f.u.
Magnetization = 0.00 μB/f.u.

abc: 6.671 6.671 4.730
angles: 95.70 95.70 57.98
Fractional positions:
Cs 0.182 0.182 0.195
Cs 0.818 0.818 0.805
Ni 0.464 0.464 0.726
Ni 0.536 0.536 0.274
H 0.308 0.566 0.421
H 0.326 0.326 0.741
H 0.349 0.651 0.000
H 0.434 0.692 0.579
H 0.566 0.308 0.421
H 0.651 0.349 0.000
H 0.674 0.674 0.259
H 0.692 0.434 0.579

=====

Entry 5:
Material: Cs3NiH
Method: DFT, PBE
State: optimized geometry

ΔE to the lowest computed polymorph = 0 meV/atom
Total energy = -9.8 eV/f.u.
Magnetization = 0.00 μB/f.u.

abc: 5.911 5.911 5.911
angles: 90.00 90.00 90.00
Fractional positions:
Cs 0.000 0.000 0.500
Cs 0.000 0.500 0.000
Cs 0.500 0.000 0.000
Ni 0.500 0.500 0.500
H 0.000 0.000 0.000

=====

Entry 6:
Material: CsNi2H
Method: DFT, PBE
State: optimized geometry

Total energy = -9.5 eV/f.u.
Magnetization = 0.00 μB/f.u.

abc: 4.499 4.499 4.499
angles: 60.00 60.00 60.00
Fractional positions:
Cs 0.000 0.000 0.000
Ni 0.250 0.250 0.250
Ni 0.750 0.750 0.750
H 0.500 0.500 0.500

=====

Entry 7:
Material: CsNi3H
Method: DFT, PBE
State: optimized geometry

ΔE to the lowest computed polymorph = 1543 meV/atom
Total energy = -9.0 eV/f.u.
Magnetization = 0.87 μB/f.u.

abc: 4.863 4.863 4.863
angles: 90.00 90.00 90.00
Fractional positions:
Cs 0.000 0.000 0.000
Ni 0.000 0.000 0.500
Ni 0.000 0.500 0.000
Ni 0.500 0.000 0.000
H 0.500 0.500 0.500

=====

Entry 8:
Material: CsNiH6Pd
Method: DFT, PBE
State: optimized geometry

Total energy = -32.6 eV/f.u.
Magnetization = 0.00 μB/f.u.

abc: 4.745 4.745 6.159
angles: 90.05 90.05 120.04
Fractional positions:
Cs 0.000 0.000 0.000
Ni 0.333 0.667 0.500
H 0.019 0.381 0.373
H 0.021 0.639 0.627
H 0.361 0.979 0.373
H 0.363 0.382 0.628
H 0.618 0.637 0.372
H 0.619 0.981 0.627
Pd 0.666 0.334 0.500